No. 1
Density functional theory data (PBE) for an optimized crystal structure of Th2PbS.

```
Th2PbS
1.0
-1.5762 -2.7045 2.9045
-0.9185 -4.0215 -1.1040
5.9475 -4.2795 2.3819
Th Pb S
2 1 1
Direct
0.0680 0.0680 0.7959
0.2637 0.2637 0.2088
0.4993 0.4993 0.5022
0.6689 0.6689 0.9932
```

## Properties
**M_tot**: 0.00 μB per atom
**E**: -6.614 eV/atom
**Formation energy (no corrections)**: -0.95 eV/atom



No. 2
Density functional theory data (PBE) for an optimized crystal structure of ThPbS3.

```
ThPbS3
1.0
-0.9399 0.1824 -4.3111
-6.5932 -5.7314 1.1949
-4.6855 5.4147 1.2506
S Th Pb
6 2 2
Direct
0.2500 0.6083 0.3431
0.7500 0.3917 0.6569
0.2500 0.9059 0.6306
0.7500 0.0941 0.3694
0.2500 0.1710 0.9778
0.7500 0.8290 0.0222
0.7500 0.0744 0.7591
0.2500 0.9256 0.2409
0.7500 0.4180 0.2742
0.2500 0.5820 0.7258
```

## Properties
**M_tot**: 0.00 μB per atom
**E**: -6.082 eV/atom
**Formation energy (no corrections)**: -1.38 eV/atom



No. 3
Density functional theory data (PBE) for an optimized crystal structure of ThPbS3.

```
ThPbS3
1.0
-3.8062 0.5766 -3.4435
6.3860 -2.8014 -3.6541
-2.8761 -7.3488 1.9485
Th S Pb
2 6 2
Direct
0.1294 0.2588 0.9167
0.8706 0.7412 0.0833
0.3254 0.6508 0.9872
0.6746 0.3492 0.0128
0.9542 0.9084 0.7914
0.0458 0.0916 0.2086
0.1740 0.3479 0.5947
0.8260 0.6521 0.4053
0.6430 0.2861 0.3766
0.3570 0.7139 0.6234
```

## Properties
**M_tot**: 0.00 μB per atom
**E**: -5.999 eV/atom
**Formation energy (no corrections)**: -1.30 eV/atom



No. 4
Density functional theory data (PBE) for an optimized crystal structure of Th2PbS.

```
Th2PbS
1.0
4.3284 0.0000 0.0000
2.1642 3.7485 0.0000
2.1642 1.2495 7.0379
Pb S Th
1 1 2
Direct
0.5000 0.5000 0.5000
0.0000 0.0000 0.0000
0.7365 0.7365 0.7904
0.2635 0.2635 0.2096
```

## Properties
**M_tot**: 0.00 μB per atom
**E**: -6.669 eV/atom
**Formation energy (no corrections)**: -1.00 eV/atom



Q: Which of these has the highest formation energy (no corrections)?
A: number 1



Q: Which value of M_tot does entry 3 give?
A: 0.00 μB per atom



Please write out number 3 again, unchanged.
Density functional theory data (PBE) for an optimized crystal structure of ThPbS3.

```
ThPbS3
1.0
-3.8062 0.5766 -3.4435
6.3860 -2.8014 -3.6541
-2.8761 -7.3488 1.9485
Th S Pb
2 6 2
Direct
0.1294 0.2588 0.9167
0.8706 0.7412 0.0833
0.3254 0.6508 0.9872
0.6746 0.3492 0.0128
0.9542 0.9084 0.7914
0.0458 0.0916 0.2086
0.1740 0.3479 0.5947
0.8260 0.6521 0.4053
0.6430 0.2861 0.3766
0.3570 0.7139 0.6234
```

## Properties
**M_tot**: 0.00 μB per atom
**E**: -5.999 eV/atom
**Formation energy (no corrections)**: -1.30 eV/atom



Q: M_tot of number 4 (Th2PbS)?
A: 0.00 μB per atom